# Hf4Te5H | Alexandria | GGA-PBE | optimized geometry
data_Hf4Te5H
_cell_length_a 8.838
_cell_length_b 8.838
_cell_length_c 8.210
_cell_angle_alpha 102.88
_cell_angle_beta 102.88
_cell_angle_gamma 24.63
_symmetry_space_group_name_H-M 'P 1'
_symmetry_Int_Tables_number 1
_symmetry_space_group_name_Hall 'P 1'
loop_
_atom_site_label
_atom_site_fract_x
_atom_site_fract_y
_atom_site_fract_z
Hf1 0.001 0.001 0.265
Hf2 0.383 0.383 0.442
Hf3 0.617 0.617 0.558
Hf4 0.999 0.999 0.735
Te1 0.168 0.168 0.825
Te2 0.169 0.169 0.339
Te3 0.500 0.500 0.000
Te4 0.831 0.831 0.661
Te5 0.832 0.832 0.175
H1 0.500 0.500 0.500
# Space group: C2/m, No. 12
# Uncorrected energy in eV/atom: -6.433

# BeReHg2 | Alexandria | GGA-PBE | optimized geometry
data_BeReHg2
_cell_length_a 5.673
_cell_length_b 5.673
_cell_length_c 2.834
_cell_angle_alpha 104.29
_cell_angle_beta 104.29
_cell_angle_gamma 119.14
_symmetry_space_group_name_H-M 'P 1'
_symmetry_Int_Tables_number 1
_symmetry_space_group_name_Hall 'P 1'
loop_
_atom_site_label
_atom_site_fract_x
_atom_site_fract_y
_atom_site_fract_z
Be1 0.000 0.000 0.000
Re1 0.500 0.500 0.000
Hg1 0.000 0.500 0.000
Hg2 0.500 0.000 0.000
# Space group: C2/m, No. 12
# E_form in eV per atom: 0.870

# LaSm2Ti | Alexandria | GGA-PBE | optimized geometry
data_LaSm2Ti
_cell_length_a 12.225
_cell_length_b 12.225
_cell_length_c 12.225
_cell_angle_alpha 16.07
_cell_angle_beta 16.07
_cell_angle_gamma 16.07
_symmetry_space_group_name_H-M 'P 1'
_symmetry_Int_Tables_number 1
_symmetry_space_group_name_Hall 'P 1'
loop_
_atom_site_label
_atom_site_fract_x
_atom_site_fract_y
_atom_site_fract_z
La1 0.000 0.000 0.000
Sm1 0.418 0.418 0.418
Sm2 0.582 0.582 0.582
Ti1 0.500 0.500 0.500
# Space group: R-3m, No. 166
# E_form in eV per atom: 0.460

# TlAuO3 | Alexandria | GGA-PBE | optimized geometry
data_TlAuO3
_cell_length_a 7.148
_cell_length_b 7.456
_cell_length_c 6.801
_cell_angle_alpha 90.00
_cell_angle_beta 112.62
_cell_angle_gamma 90.00
_symmetry_space_group_name_H-M 'P 1'
_symmetry_Int_Tables_number 1
_symmetry_space_group_name_Hall 'P 1'
loop_
_atom_site_label
_atom_site_fract_x
_atom_site_fract_y
_atom_site_fract_z
Tl1 0.216 0.199 0.130
Tl2 0.216 0.301 0.630
Tl3 0.784 0.699 0.370
Tl4 0.784 0.801 0.870
Au1 0.280 0.744 0.360
Au2 0.280 0.756 0.860
Au3 0.720 0.244 0.140
Au4 0.720 0.256 0.640
O1 0.013 0.181 0.299
O2 0.013 0.319 0.799
O3 0.277 0.605 0.613
O4 0.277 0.895 0.113
O5 0.422 0.206 0.490
O6 0.422 0.294 0.990
O7 0.578 0.706 0.010
O8 0.578 0.794 0.510
O9 0.723 0.105 0.887
O10 0.723 0.395 0.387
O11 0.987 0.681 0.201
O12 0.987 0.819 0.701
# ΔE_f (raw) in meV per atom: -322
# Space group: P2_1/c, No. 14

| no. | density (g/cm3) |
| --- | --- |
| 1 | 8.63 |
| 2 | 14.24 |
| 3 | 6.63 |
| 4 | 8.92 |